(1)
CuSbMo2 | GGA-PBE | optimized geometry Values from VASP.

Calculated values
Electronic total energy, eV/cell: -28.117
Symmetry: Cmmm, No. 65
Spin magnetization, μB per atom: 0.000
ΔE_f (raw), kcal/mol of atoms: 10.2
Volume, Å³ per cell: 66

Quantum ESPRESSO input file:
```
&SYSTEM
  ibrav = 0, nat = 4, ntyp = 3
/
ATOMIC_SPECIES
Cu 63.55 Cu.upf
Sb 121.76 Sb.upf
Mo 95.94 Mo.upf
ATOMIC_POSITIONS crystal
Cu 0.000 0.000 0.000
Sb 0.500 0.500 0.000
Mo 0.000 0.500 0.500
Mo 0.500 0.000 0.500
CELL_PARAMETERS angstrom
2.705 -3.982 0.000
2.705 3.982 0.000
0.000 0.000 3.043
```

***

(2)
Pr8DyEr3 | GGA-PBE | optimized geometry Values from VASP.

Calculated values
Electronic total energy, eV/cell: -55.215
Symmetry: C2/m, No. 12
Spin magnetization, μB per atom: 0.000
Volume, Å³ per cell: 412
Formation enthalpy at 0 K, meV per atom: 109

Quantum ESPRESSO input file:
```
&SYSTEM
  ibrav = 0, nat = 12, ntyp = 3
/
ATOMIC_SPECIES
Pr 140.91 Pr.upf
Dy 162.50 Dy.upf
Er 167.26 Er.upf
ATOMIC_POSITIONS crystal
Pr 0.181 0.684 0.666
Pr 0.182 0.182 0.164
Pr 0.316 0.819 0.334
Pr 0.319 0.319 0.833
Pr 0.681 0.681 0.167
Pr 0.684 0.181 0.666
Pr 0.818 0.818 0.836
Pr 0.819 0.316 0.334
Dy 0.500 0.500 0.500
Er 0.000 0.000 0.500
Er 0.000 0.500 0.000
Er 0.500 0.000 0.000
CELL_PARAMETERS angstrom
3.549 -6.033 0.000
3.549 6.033 0.000
-2.447 0.000 9.617
```

***

(3)
LiCeTmIr | GGA-PBE | optimized geometry Values from VASP.

Calculated values
Electronic total energy, eV/cell: -23.010
Symmetry: F-43m, No. 216
Spin magnetization, μB per atom: 0.154
Volume, Å³ per cell: 85
Formation enthalpy at 0 K, meV per atom: -457

Quantum ESPRESSO input file:
```
&SYSTEM
  ibrav = 0, nat = 4, ntyp = 4
/
ATOMIC_SPECIES
Li 6.94 Li.upf
Ce 140.12 Ce.upf
Tm 168.93 Tm.upf
Ir 192.22 Ir.upf
ATOMIC_POSITIONS crystal
Li 0.000 0.000 0.000
Ce 0.250 0.250 0.250
Tm 0.750 0.750 0.750
Ir 0.500 0.500 0.500
CELL_PARAMETERS angstrom
0.000 3.489 3.489
3.489 0.000 3.489
3.489 3.489 0.000
```

***

(4)
LiNdHoAg | GGA-PBE | optimized geometry Values from VASP.

Calculated values
Electronic total energy, eV/cell: -14.400
Symmetry: F-43m, No. 216
Spin magnetization, μB per atom: 0.000
Volume, Å³ per cell: 102
Formation enthalpy at 0 K, meV per atom: -72

Quantum ESPRESSO input file:
```
&SYSTEM
  ibrav = 0, nat = 4, ntyp = 4
/
ATOMIC_SPECIES
Li 6.94 Li.upf
Nd 144.24 Nd.upf
Ho 164.93 Ho.upf
Ag 107.87 Ag.upf
ATOMIC_POSITIONS crystal
Li 0.000 0.000 0.000
Nd 0.750 0.750 0.750
Ho 0.250 0.250 0.250
Ag 0.500 0.500 0.500
CELL_PARAMETERS angstrom
0.000 3.708 3.708
3.708 0.000 3.708
3.708 3.708 0.000
```

***

(5)
Li23Zn6Cu | GGA-PBE | optimized geometry Values from VASP.

Calculated values
Electronic total energy, eV/cell: -57.045
Symmetry: Fm-3m, No. 225
Spin magnetization, μB per atom: 0.000
Volume, Å³ per cell: 519
Formation enthalpy at 0 K, meV per atom: -43

Quantum ESPRESSO input file:
```
&SYSTEM
  ibrav = 0, nat = 30, ntyp = 3
/
ATOMIC_SPECIES
Li 6.94 Li.upf
Zn 65.41 Zn.upf
Cu 63.55 Cu.upf
ATOMIC_POSITIONS crystal
Li 0.000 0.000 0.000
Li 0.000 0.000 0.500
Li 0.000 0.500 0.000
Li 0.000 0.500 0.500
Li 0.129 0.129 0.129
Li 0.129 0.129 0.614
Li 0.129 0.614 0.129
Li 0.146 0.618 0.618
Li 0.382 0.382 0.382
Li 0.382 0.382 0.854
Li 0.382 0.854 0.382
Li 0.386 0.871 0.871
Li 0.500 0.000 0.000
Li 0.500 0.000 0.500
Li 0.500 0.500 0.000
Li 0.614 0.129 0.129
Li 0.618 0.146 0.618
Li 0.618 0.618 0.146
Li 0.618 0.618 0.618
Li 0.854 0.382 0.382
Li 0.871 0.386 0.871
Li 0.871 0.871 0.386
Li 0.871 0.871 0.871
Zn 0.249 0.249 0.751
Zn 0.249 0.751 0.249
Zn 0.249 0.751 0.751
Zn 0.751 0.249 0.249
Zn 0.751 0.249 0.751
Zn 0.751 0.751 0.249
Cu 0.500 0.500 0.500
CELL_PARAMETERS angstrom
0.000 6.377 6.377
6.377 0.000 6.377
6.377 6.377 0.000
```

***

(6)
ZrSc2ZnRh4 | GGA-PBE | optimized geometry Values from VASP.

Calculated values
Electronic total energy, eV/cell: -58.918
Symmetry: R-3m, No. 166
Spin magnetization, μB per atom: 0.000
Volume, Å³ per cell: 131
Formation enthalpy at 0 K, meV per atom: -878

Quantum ESPRESSO input file:
```
&SYSTEM
  ibrav = 0, nat = 8, ntyp = 4
/
ATOMIC_SPECIES
Zr 91.22 Zr.upf
Sc 44.96 Sc.upf
Zn 65.41 Zn.upf
Rh 102.91 Rh.upf
ATOMIC_POSITIONS crystal
Zr 0.000 0.000 0.000
Sc 0.243 0.243 0.243
Sc 0.757 0.757 0.757
Zn 0.500 0.500 0.500
Rh 0.123 0.123 0.123
Rh 0.375 0.375 0.375
Rh 0.625 0.625 0.625
Rh 0.877 0.877 0.877
CELL_PARAMETERS angstrom
2.264 1.307 7.362
-2.264 1.307 7.362
0.000 -2.614 7.362
```

***

(7)
LiHPt3 | GGA-PBE | optimized geometry Values from VASP.

Calculated values
Electronic total energy, eV/cell: -24.576
Symmetry: Pm-3m, No. 221
Relative energy among the computed polymorphs, eV per formula unit: 0.29
Spin magnetization, μB per atom: 0.000
Volume, Å³ per cell: 63

Quantum ESPRESSO input file:
```
&SYSTEM
  ibrav = 0, nat = 5, ntyp = 3
/
ATOMIC_SPECIES
Li 6.94 Li.upf
H 1.01 H.upf
Pt 195.08 Pt.upf
ATOMIC_POSITIONS crystal
Li 0.000 0.000 0.000
H 0.500 0.500 0.500
Pt 0.000 0.500 0.500
Pt 0.500 0.000 0.500
Pt 0.500 0.500 0.000
CELL_PARAMETERS angstrom
3.971 0.000 0.000
0.000 3.971 0.000
0.000 0.000 3.971
```

***

(8)
ZrTePt | GGA-PBE | optimized geometry Values from VASP.

Calculated values
Electronic total energy, eV/cell: -19.271
Symmetry: F-43m, No. 216
Relative energy among the computed polymorphs, eV per formula unit: 0.73
Spin magnetization, μB per atom: 0.000
ΔE_f (raw), kcal/mol of atoms: -11.8
Volume, Å³ per cell: 73

Quantum ESPRESSO input file:
```
&SYSTEM
  ibrav = 0, nat = 3, ntyp = 3
/
ATOMIC_SPECIES
Zr 91.22 Zr.upf
Te 127.60 Te.upf
Pt 195.08 Pt.upf
ATOMIC_POSITIONS crystal
Zr 0.000 0.000 0.000
Te 0.250 0.250 0.250
Pt 0.750 0.750 0.750
CELL_PARAMETERS angstrom
0.000 3.324 3.324
3.324 0.000 3.324
3.324 3.324 0.000
```

***

(9)
SmSeBrO4 | GGA-PBE | optimized geometry Values from VASP.

Calculated values
Electronic total energy, eV/cell: -81.934
Symmetry: C2/m, No. 12
Spin magnetization, μB per atom: 0.000
ΔE_f (raw), kcal/mol of atoms: -37.1
Volume, Å³ per cell: 251

Quantum ESPRESSO input file:
```
&SYSTEM
  ibrav = 0, nat = 14, ntyp = 4
/
ATOMIC_SPECIES
Sm 150.36 Sm.upf
Se 78.96 Se.upf
Br 79.90 Br.upf
O 16.00 O.upf
ATOMIC_POSITIONS crystal
Sm 0.231 0.231 0.134
Sm 0.769 0.769 0.866
Se 0.364 0.364 0.735
Se 0.636 0.636 0.265
Br 0.020 0.020 0.756
Br 0.980 0.980 0.244
O 0.136 0.488 0.860
O 0.286 0.286 0.495
O 0.474 0.474 0.233
O 0.488 0.136 0.860
O 0.512 0.864 0.140
O 0.526 0.526 0.767
O 0.714 0.714 0.505
O 0.864 0.512 0.140
CELL_PARAMETERS angstrom
5.198 -3.638 0.000
5.198 3.638 0.000
-1.675 0.000 6.637
```

***

(10)
RbZrBr2N | GGA-PBE | optimized geometry Values from VASP.

Calculated values
Electronic total energy, eV/cell: -12.516
Symmetry: P4/mmm, No. 123
Spin magnetization, μB per atom: 0.400
ΔE_f (raw), kcal/mol of atoms: 40.0
Volume, Å³ per cell: 237

Quantum ESPRESSO input file:
```
&SYSTEM
  ibrav = 0, nat = 5, ntyp = 4
/
ATOMIC_SPECIES
Rb 85.47 Rb.upf
Zr 91.22 Zr.upf
Br 79.90 Br.upf
N 14.01 N.upf
ATOMIC_POSITIONS crystal
Rb 0.000 0.000 0.000
Zr 0.000 0.000 0.500
Br 0.000 0.500 0.000
Br 0.500 0.000 0.000
N 0.500 0.500 0.500
CELL_PARAMETERS angstrom
6.187 0.000 0.000
0.000 6.187 0.000
0.000 0.000 6.204
```

***

(11)
YHoZnIn | GGA-PBE | optimized geometry Values from VASP.

Calculated values
Electronic total energy, eV/cell: -16.693
Symmetry: F-43m, No. 216
Relative energy among the computed polymorphs, eV per formula unit: 0.08
Spin magnetization, μB per atom: 0.000
Volume, Å³ per cell: 99
Formation enthalpy at 0 K, meV per atom: -410

Quantum ESPRESSO input file:
```
&SYSTEM
  ibrav = 0, nat = 4, ntyp = 4
/
ATOMIC_SPECIES
Y 88.91 Y.upf
Ho 164.93 Ho.upf
Zn 65.41 Zn.upf
In 114.82 In.upf
ATOMIC_POSITIONS crystal
Y 0.000 0.000 0.000
Ho 0.500 0.500 0.500
Zn 0.750 0.750 0.750
In 0.250 0.250 0.250
CELL_PARAMETERS angstrom
0.000 3.671 3.671
3.671 0.000 3.671
3.671 3.671 0.000
```

***

electronic total energy of number 3 (LiCeTmIr)?
-23.010 eV/cell